A plane-wave DFT calculation with PBE was carried out for a relaxed ZrRe2Rh crystal.

Values from the calculation:
- M_tot: 0.000 μB/f.u.
- SG: R3m, No. 160
- E_form: 0.068 eV/atom
- Calculated volume: 16.28 Å³/atom
- Relative energy among the computed polymorphs: 193 meV per atom

Lattice parameters (Å, degrees): 9.4359 9.4359 9.4359 17.34 17.34 17.34
Element x y z (fractional)
Zr 0.0000 0.0000 0.0000
Re 0.5016 0.5016 0.5016
Re 0.7593 0.7593 0.7593
Rh 0.2471 0.2471 0.2471

=====

A plane-wave DFT calculation with PBE was carried out for a relaxed Tm2Be3AlIr4 crystal.

Values from the calculation:
- M_tot: 0.000 μB/f.u.
- SG: P-4m2, No. 115
- E_form: -0.735 eV/atom
- Calculated volume: 15.46 Å³/atom

Lattice parameters (Å, degrees): 4.0459 4.0459 9.4471 90.00 90.00 90.00
Element x y z (fractional)
Tm 0.0000 0.5000 0.2306
Tm 0.5000 0.0000 0.7694
Be 0.0000 0.5000 0.8883
Be 0.5000 0.0000 0.1117
Be 0.5000 0.5000 0.5000
Al 0.0000 0.0000 0.5000
Ir 0.0000 0.0000 0.0000
Ir 0.0000 0.5000 0.6441
Ir 0.5000 0.0000 0.3559
Ir 0.5000 0.5000 0.0000

=====

A plane-wave DFT calculation with PBE was carried out for a relaxed Tm4CS crystal.

Values from the calculation:
- M_tot: 0.000 μB/f.u.
- SG: P2/m, No. 10
- Formation energy (no corrections): -0.8174 eV per atom
- Calculated volume: 23.07 Å³/atom

Lattice parameters (Å, degrees): 6.2605 3.6421 6.4145 90.00 108.85 90.00
Element x y z (fractional)
Tm 0.2360 0.0000 0.2176
Tm 0.2447 0.5000 0.7741
Tm 0.7553 0.5000 0.2259
Tm 0.7640 0.0000 0.7824
C 0.0000 0.5000 0.0000
S 0.0000 0.0000 0.5000

=====

A plane-wave DFT calculation with PBE was carried out for a relaxed Re2BrCl2 crystal.

Values from the calculation:
- M_tot: 0.000 μB/f.u.
- SG: I4/mmm, No. 139
- Formation energy (no corrections): 0.8692 eV per atom
- Calculated volume: 20.63 Å³/atom
- Relative energy among the computed polymorphs: 22 meV per atom

Lattice parameters (Å, degrees): 7.3418 7.3418 7.3418 149.26 149.26 44.04
Element x y z (fractional)
Re 0.2500 0.7500 0.5000
Re 0.7500 0.2500 0.5000
Br 0.0000 0.0000 0.0000
Cl 0.3542 0.3542 0.0000
Cl 0.6458 0.6458 0.0000

=====

A plane-wave DFT calculation with PBE was carried out for a relaxed PaBrN crystal.

Values from the calculation:
- M_tot: 0.509 μB/f.u.
- SG: P2_1/m, No. 11
- Formation energy (no corrections): -1.5002 eV per atom
- Calculated volume: 22.77 Å³/atom

Lattice parameters (Å, degrees): 3.4180 3.4835 11.4823 90.00 91.97 90.00
Element x y z (fractional)
Pa 0.2362 0.2500 0.3799
Pa 0.7638 0.7500 0.6201
Br 0.2882 0.7500 0.8260
Br 0.7118 0.2500 0.1740
N 0.2591 0.2500 0.5772
N 0.7409 0.7500 0.4228

=====

A plane-wave DFT calculation with PBE was carried out for a relaxed CrCuP2S crystal.

Values from the calculation:
- M_tot: 0.143 μB/f.u.
- SG: P4/mmm, No. 123
- Formation energy (no corrections): 0.5989 eV per atom
- Calculated volume: 17.44 Å³/atom
- Relative energy among the computed polymorphs: 0 meV per atom

Lattice parameters (Å, degrees): 4.4978 4.4978 4.3092 90.00 90.00 90.00
Element x y z (fractional)
Cr 0.0000 0.0000 0.0000
Cu 0.5000 0.5000 0.5000
P 0.0000 0.5000 0.0000
P 0.5000 0.0000 0.0000
S 0.0000 0.0000 0.5000

=====

A plane-wave DFT calculation with PBE was carried out for a relaxed Li2AlTcH6 crystal.

Values from the calculation:
- M_tot: 0.000 μB/f.u.
- SG: Pmmn, No. 59
- Total energy: -4.00 eV per atom
- Calculated volume: 8.11 Å³/atom

Lattice parameters (Å, degrees): 4.8774 5.6351 5.9019 90.00 90.00 90.00
Element x y z (fractional)
Li 0.2500 0.0066 0.1048
Li 0.2500 0.4934 0.1048
Li 0.7500 0.5066 0.8952
Li 0.7500 0.9934 0.8952
Al 0.2500 0.2500 0.5194
Al 0.7500 0.7500 0.4806
Tc 0.2500 0.7500 0.7087
Tc 0.7500 0.2500 0.2913
H 0.0277 0.7500 0.9440
H 0.1008 0.7500 0.4458
H 0.2500 0.0568 0.7592
H 0.2500 0.4432 0.7592
H 0.3992 0.7500 0.4458
H 0.4723 0.7500 0.9440
H 0.5277 0.2500 0.0560
H 0.6008 0.2500 0.5542
H 0.7500 0.5568 0.2408
H 0.7500 0.9432 0.2408
H 0.8992 0.2500 0.5542
H 0.9723 0.2500 0.0560

=====

A plane-wave DFT calculation with PBE was carried out for a relaxed Dy2Y7Er3 crystal.

Values from the calculation:
- M_tot: 0.000 μB/f.u.
- SG: P2/m, No. 10
- E_form: 0.092 eV/atom
- Calculated volume: 31.96 Å³/atom
- Relative energy among the computed polymorphs: 0 meV per atom

Lattice parameters (Å, degrees): 5.7719 3.5762 18.6203 90.00 93.68 90.00
Element x y z (fractional)
Dy 0.2058 0.0000 0.2955
Dy 0.7942 0.0000 0.7045
Y 0.1800 0.5000 0.1438
Y 0.2421 0.0000 0.4633
Y 0.3159 0.0000 0.8191
Y 0.5000 0.5000 0.0000
Y 0.6841 0.0000 0.1809
Y 0.7579 0.0000 0.5367
Y 0.8200 0.5000 0.8562
Er 0.0000 0.0000 0.0000
Er 0.2804 0.5000 0.6325
Er 0.7196 0.5000 0.3675

=====

A plane-wave DFT calculation with PBE was carried out for a relaxed LiNi3H6 crystal.

Values from the calculation:
- M_tot: 0.000 μB/f.u.
- SG: R3, No. 146
- Calculated volume: 6.54 Å³/atom
- Relative energy among the computed polymorphs: 0 meV per atom

Lattice parameters (Å, degrees): 4.6946 4.6946 4.6946 55.41 55.41 55.41
Element x y z (fractional)
Li 0.0000 0.0000 0.0000
Ni 0.2271 0.2271 0.2271
Ni 0.5612 0.5612 0.5612
Ni 0.7707 0.7707 0.7707
H 0.1731 0.4568 0.8222
H 0.4568 0.8222 0.1731
H 0.4603 0.9764 0.5291
H 0.5291 0.4603 0.9764
H 0.8222 0.1731 0.4568
H 0.9764 0.5291 0.4603

=====

A plane-wave DFT calculation with PBE was carried out for a relaxed KTl2Cd crystal.

Values from the calculation:
- M_tot: 0.000 μB/f.u.
- SG: Cm, No. 8
- E_form: -0.004 eV/atom
- Calculated volume: 32.53 Å³/atom

Lattice parameters (Å, degrees): 5.6990 5.6990 7.0539 96.03 96.03 34.85
Element x y z (fractional)
K 0.0000 0.0000 0.0000
Tl 0.5005 0.5005 0.5139
Tl 0.7553 0.7553 0.2877
Cd 0.2483 0.2483 0.7149

=====

A plane-wave DFT calculation with PBE was carried out for a relaxed Cs2Li3UF12 crystal.

Values from the calculation:
- M_tot: 1.030 μB/f.u.
- SG: R-3m, No. 166
- Formation energy (no corrections): -2.7589 eV per atom
- Calculated volume: 15.75 Å³/atom

Lattice parameters (Å, degrees): 7.3954 7.3954 7.3954 59.61 59.61 59.61
Element x y z (fractional)
Cs 0.0988 0.0988 0.0988
Cs 0.9012 0.9012 0.9012
Li 0.0000 0.5000 0.5000
Li 0.5000 0.0000 0.5000
Li 0.5000 0.5000 0.0000
U 0.5000 0.5000 0.5000
F 0.1524 0.6136 0.6136
F 0.2352 0.2352 0.5996
F 0.2352 0.5996 0.2352
F 0.3864 0.3864 0.8476
F 0.3864 0.8476 0.3864
F 0.4004 0.7648 0.7648
F 0.5996 0.2352 0.2352
F 0.6136 0.1524 0.6136
F 0.6136 0.6136 0.1524
F 0.7648 0.4004 0.7648
F 0.7648 0.7648 0.4004
F 0.8476 0.3864 0.3864

=====

A plane-wave DFT calculation with PBE was carried out for a relaxed PrScAu crystal.

Values from the calculation:
- M_tot: 0.000 μB/f.u.
- SG: P-6m2, No. 187
- E_form: -0.435 eV/atom
- Calculated volume: 26.30 Å³/atom
- Relative energy among the computed polymorphs: 167 meV per atom

Lattice parameters (Å, degrees): 4.7673 4.7673 4.0090 90.00 90.00 120.00
Element x y z (fractional)
Pr 0.0000 0.0000 0.0000
Sc 0.6667 0.3333 0.5000
Au 0.3333 0.6667 0.5000

=====

A plane-wave DFT calculation with PBE was carried out for a relaxed Sm4Er3Sc4 crystal.

Values from the calculation:
- M_tot: 0.000 μB/f.u.
- SG: P-1, No. 2
- E_form: 0.079 eV/atom
- Calculated volume: 29.23 Å³/atom

Lattice parameters (Å, degrees): 3.4225 5.4674 17.4811 98.98 95.62 90.00
Element x y z (fractional)
Sm 0.0902 0.0910 0.1814
Sm 0.2314 0.7313 0.4625
Sm 0.7686 0.2687 0.5375
Sm 0.9098 0.9090 0.8186
Er 0.3649 0.3640 0.7285
Er 0.5000 0.0000 0.0000
Er 0.6351 0.6360 0.2715
Sc 0.0433 0.5445 0.0883
Sc 0.1798 0.1807 0.3613
Sc 0.8202 0.8193 0.6387
Sc 0.9567 0.4555 0.9117

=====

A plane-wave DFT calculation with PBE was carried out for a relaxed SrLiHoHg crystal.

Values from the calculation:
- M_tot: 0.000 μB/f.u.
- SG: F-43m, No. 216
- E_form: -0.160 eV/atom
- Calculated volume: 28.30 Å³/atom

Lattice parameters (Å, degrees): 5.4295 5.4295 5.4295 60.00 60.00 60.00
Element x y z (fractional)
Sr 0.0000 0.0000 0.0000
Li 0.2500 0.2500 0.2500
Ho 0.5000 0.5000 0.5000
Hg 0.7500 0.7500 0.7500

=====

A plane-wave DFT calculation with PBE was carried out for a relaxed NdSb2Ru crystal.

Values from the calculation:
- M_tot: 0.000 μB/f.u.
- SG: R-3m, No. 166
- Formation energy (no corrections): -0.5172 eV per atom
- Calculated volume: 24.11 Å³/atom

Lattice parameters (Å, degrees): 6.3830 6.3830 6.3830 39.91 39.91 39.91
Element x y z (fractional)
Nd 0.0000 0.0000 0.0000
Sb 0.2265 0.2265 0.2265
Sb 0.7735 0.7735 0.7735
Ru 0.5000 0.5000 0.5000

=====

A plane-wave DFT calculation with PBE was carried out for a relaxed AcZrSeO2 crystal.

Values from the calculation:
- M_tot: 0.000 μB/f.u.
- SG: P4mm, No. 99
- Formation energy (no corrections): -2.6421 eV per atom
- Calculated volume: 21.11 Å³/atom

Lattice parameters (Å, degrees): 4.0539 4.0539 6.4234 90.00 90.00 90.00
Element x y z (fractional)
Ac 0.0000 0.0000 0.0000
Zr 0.5000 0.5000 0.3626
Se 0.5000 0.5000 0.7807
O 0.0000 0.5000 0.2494
O 0.5000 0.0000 0.2494

=====

A plane-wave DFT calculation with PBE was carried out for a relaxed ZrHgSe2N crystal.

Values from the calculation:
- M_tot: 0.001 μB/f.u.
- SG: P4/mmm, No. 123
- Formation energy (no corrections): 0.9928 eV per atom
- Calculated volume: 22.00 Å³/atom
- Relative energy among the computed polymorphs: 1049 meV per atom

Lattice parameters (Å, degrees): 5.2181 5.2181 4.0398 90.00 90.00 90.00
Element x y z (fractional)
Zr 0.0000 0.0000 0.0000
Hg 0.5000 0.5000 0.5000
Se 0.0000 0.5000 0.5000
Se 0.5000 0.0000 0.5000
N 0.5000 0.5000 0.0000

=====

A plane-wave DFT calculation with PBE was carried out for a relaxed La5ErPb4 crystal.

Values from the calculation:
- M_tot: 0.000 μB/f.u.
- SG: C2/m, No. 12
- E_form: -0.413 eV/atom
- Calculated volume: 35.50 Å³/atom

Lattice parameters (Å, degrees): 9.0323 9.0323 7.4195 91.06 91.06 35.92
Element x y z (fractional)
La 0.0000 0.0000 0.0000
La 0.3329 0.3329 0.4927
La 0.3340 0.3340 0.0003
La 0.6660 0.6660 0.9997
La 0.6671 0.6671 0.5073
Er 0.0000 0.0000 0.5000
Pb 0.1715 0.1715 0.7473
Pb 0.4927 0.4927 0.7397
Pb 0.5073 0.5073 0.2603
Pb 0.8285 0.8285 0.2527

=====

A plane-wave DFT calculation with PBE was carried out for a relaxed PmLu2 crystal.

Values from the calculation:
- M_tot: 3.084 μB/f.u.
- SG: Fd-3m, No. 227
- E_form: 0.272 eV/atom
- Calculated volume: 34.00 Å³/atom
- Relative energy among the computed polymorphs: 240 meV per atom

Lattice parameters (Å, degrees): 6.6075 6.6075 6.6075 60.00 60.00 60.00
Element x y z (fractional)
Pm 0.1250 0.1250 0.1250
Pm 0.8750 0.8750 0.8750
Lu 0.0000 0.5000 0.5000
Lu 0.5000 0.0000 0.5000
Lu 0.5000 0.5000 0.0000
Lu 0.5000 0.5000 0.5000

=====

A plane-wave DFT calculation with PBE was carried out for a relaxed CsYAsSe2 crystal.

Values from the calculation:
- M_tot: 0.000 μB/f.u.
- SG: P4/mmm, No. 123
- Formation energy (no corrections): 0.7514 eV per atom
- Calculated volume: 34.46 Å³/atom
- Relative energy among the computed polymorphs: 1516 meV per atom

Lattice parameters (Å, degrees): 5.4798 5.4798 5.7383 90.00 90.00 90.00
Element x y z (fractional)
Cs 0.0000 0.0000 0.0000
Y 0.5000 0.5000 0.5000
As 0.0000 0.0000 0.5000
Se 0.0000 0.5000 0.0000
Se 0.5000 0.0000 0.0000

=====

A plane-wave DFT calculation with PBE was carried out for a relaxed NpU2Si crystal.

Values from the calculation:
- M_tot: 2.025 μB/f.u.
- SG: P4/mmm, No. 123
- Formation energy (no corrections): -0.1444 eV per atom
- Calculated volume: 19.00 Å³/atom
- Relative energy among the computed polymorphs: 0 meV per atom

Lattice parameters (Å, degrees): 4.3050 4.3050 4.0999 90.00 90.00 90.00
Element x y z (fractional)
Np 0.0000 0.0000 0.0000
U 0.0000 0.5000 0.5000
U 0.5000 0.0000 0.5000
Si 0.5000 0.5000 0.0000

=====

A plane-wave DFT calculation with PBE was carried out for a relaxed BaLiAl2Ge2 crystal.

Values from the calculation:
- M_tot: 0.000 μB/f.u.
- SG: P-3m1, No. 164
- E_form: -0.387 eV/atom
- Calculated volume: 22.38 Å³/atom

Lattice parameters (Å, degrees): 4.5131 4.5131 7.6133 90.00 90.00 120.00
Element x y z (fractional)
Ba 0.0000 0.0000 0.0000
Li 0.0000 0.0000 0.5000
Al 0.3333 0.6667 0.6396
Al 0.6667 0.3333 0.3604
Ge 0.3333 0.6667 0.2895
Ge 0.6667 0.3333 0.7105

=====

A plane-wave DFT calculation with PBE was carried out for a relaxed Ac3NdPb6 crystal.

Values from the calculation:
- M_tot: 0.000 μB/f.u.
- SG: R-3c, No. 167
- E_form: -0.431 eV/atom
- Calculated volume: 35.15 Å³/atom

Lattice parameters (Å, degrees): 8.9612 8.9612 8.9612 96.84 96.84 96.84
Element x y z (fractional)
Ac 0.1786 0.7500 0.3214
Ac 0.2500 0.6786 0.8214
Ac 0.3214 0.1786 0.7500
Ac 0.6786 0.8214 0.2500
Ac 0.7500 0.3214 0.1786
Ac 0.8214 0.2500 0.6786
Nd 0.0000 0.0000 0.0000
Nd 0.5000 0.5000 0.5000
Pb 0.0061 0.0876 0.3605
Pb 0.0876 0.3605 0.0061
Pb 0.1395 0.4124 0.4939
Pb 0.3605 0.0061 0.0876
Pb 0.4124 0.4939 0.1395
Pb 0.4939 0.1395 0.4124
Pb 0.5061 0.8605 0.5876
Pb 0.5876 0.5061 0.8605
Pb 0.6395 0.9939 0.9124
Pb 0.8605 0.5876 0.5061
Pb 0.9124 0.6395 0.9939
Pb 0.9939 0.9124 0.6395

=====

A plane-wave DFT calculation with PBE was carried out for a relaxed Cs2Sn2Pb crystal.

Values from the calculation:
- M_tot: 0.000 μB/f.u.
- SG: P4/mbm, No. 127
- E_form: 0.142 eV/atom
- Calculated volume: 44.96 Å³/atom
- Relative energy among the computed polymorphs: 263 meV per atom

Lattice parameters (Å, degrees): 11.4264 11.4264 3.4439 90.00 90.00 90.00
Element x y z (fractional)
Cs 0.2075 0.2925 0.0000
Cs 0.2925 0.7925 0.0000
Cs 0.7075 0.2075 0.0000
Cs 0.7925 0.7075 0.0000
Sn 0.0869 0.5869 0.5000
Sn 0.4131 0.0869 0.5000
Sn 0.5869 0.9131 0.5000
Sn 0.9131 0.4131 0.5000
Pb 0.0000 0.0000 0.5000
Pb 0.5000 0.5000 0.5000